# PBE TlCuP2, optimized geometry
# energy of formation from the pure elements = 0.632 eV per atom
# crystal system = orthorhombic
# final energy = -3.688 eV per atom
data_TlCuP2
_chemical_formula_sum 'Tl2 Cu2 P4'
_space_group_name_H-M_alt 'C m m m'
_space_group_IT_number 65
_space_group_name_Hall '-C 2 2'
_cell_length_a 5.039
_cell_length_b 7.762
_cell_length_c 3.861
_cell_angle_alpha 90.00
_cell_angle_beta 90.00
_cell_angle_gamma 90.00
loop_
_atom_site_label
_atom_site_type_symbol
_atom_site_fract_x
_atom_site_fract_y
_atom_site_fract_z
Tl1 Tl 0.000 0.000 0.000
Cu1 Cu 0.000 0.500 0.000
P1 P 0.250 0.250 0.500


# PBE TlCuP2, optimized geometry
# energy of formation from the pure elements = 0.302 eV per atom
# crystal system = tetragonal
# final energy = -4.018 eV per atom
data_TlCuP2
_chemical_formula_sum 'Tl1 Cu1 P2'
_space_group_name_H-M_alt 'P 4 m m'
_space_group_IT_number 99
_space_group_name_Hall 'P 4 -2'
_cell_length_a 3.211
_cell_length_b 3.211
_cell_length_c 7.165
_cell_angle_alpha 90.00
_cell_angle_beta 90.00
_cell_angle_gamma 90.00
loop_
_atom_site_label
_atom_site_type_symbol
_atom_site_fract_x
_atom_site_fract_y
_atom_site_fract_z
Tl1 Tl 0.000 0.000 0.000
Cu1 Cu 0.500 0.500 0.279
P1 P 0.000 0.000 0.471
P2 P 0.500 0.500 0.606


# PBE TlCu2P, optimized geometry
# energy of formation from the pure elements = 0.060 eV per atom
# crystal system = monoclinic
# final energy = -3.932 eV per atom
data_TlCu2P
_chemical_formula_sum 'Tl2 Cu4 P2'
_space_group_name_H-M_alt 'C 1 m 1'
_space_group_IT_number 8
_space_group_name_Hall 'C -2y'
_cell_length_a 6.907
_cell_length_b 3.978
_cell_length_c 5.908
_cell_angle_alpha 90.00
_cell_angle_beta 91.40
_cell_angle_gamma 90.00
loop_
_atom_site_label
_atom_site_type_symbol
_atom_site_fract_x
_atom_site_fract_y
_atom_site_fract_z
Tl1 Tl 0.000 0.000 0.000
Cu1 Cu 0.014 0.000 0.529
Cu2 Cu 0.344 0.000 0.365
P1 P 0.178 0.500 0.429


# PBE TlCuP2, optimized geometry
# energy of formation from the pure elements = 0.772 eV per atom
# crystal system = cubic
# final energy = -3.548 eV per atom
data_TlCuP2
_chemical_formula_sum 'Tl4 Cu4 P8'
_space_group_name_H-M_alt 'F m -3 m'
_space_group_IT_number 225
_space_group_name_Hall '-F 4 2 3'
_cell_length_a 6.627
_cell_length_b 6.627
_cell_length_c 6.627
_cell_angle_alpha 90.00
_cell_angle_beta 90.00
_cell_angle_gamma 90.00
loop_
_atom_site_label
_atom_site_type_symbol
_atom_site_fract_x
_atom_site_fract_y
_atom_site_fract_z
Tl1 Tl 0.000 0.000 0.000
Cu1 Cu 0.000 0.000 0.500
P1 P 0.250 0.250 0.250


# PBE TlCuP2, optimized geometry
# energy of formation from the pure elements = 0.459 eV per atom
# crystal system = orthorhombic
# final energy = -3.862 eV per atom
data_TlCuP2
_chemical_formula_sum 'Tl2 Cu2 P4'
_space_group_name_H-M_alt 'I m m m'
_space_group_IT_number 71
_space_group_name_Hall '-I 2 2'
_cell_length_a 2.832
_cell_length_b 5.798
_cell_length_c 9.695
_cell_angle_alpha 90.00
_cell_angle_beta 90.00
_cell_angle_gamma 90.00
loop_
_atom_site_label
_atom_site_type_symbol
_atom_site_fract_x
_atom_site_fract_y
_atom_site_fract_z
Tl1 Tl 0.000 0.000 0.000
Cu1 Cu 0.000 0.000 0.500
P1 P 0.000 0.500 0.192


# PBE TlCuP2, optimized geometry
# energy of formation from the pure elements = 0.591 eV per atom
# crystal system = tetragonal
# final energy = -3.729 eV per atom
data_TlCuP2
_chemical_formula_sum 'Tl2 Cu2 P4'
_space_group_name_H-M_alt 'I 4/m m m'
_space_group_IT_number 139
_space_group_name_Hall '-I 4 2'
_cell_length_a 3.670
_cell_length_b 3.670
_cell_length_c 11.047
_cell_angle_alpha 90.00
_cell_angle_beta 90.00
_cell_angle_gamma 90.00
loop_
_atom_site_label
_atom_site_type_symbol
_atom_site_fract_x
_atom_site_fract_y
_atom_site_fract_z
Tl1 Tl 0.000 0.000 0.000
Cu1 Cu 0.000 0.000 0.500
P1 P 0.000 0.500 0.250


# PBE TlCuP2, optimized geometry
# energy of formation from the pure elements = 0.219 eV per atom
# crystal system = tetragonal
# final energy = -4.102 eV per atom
data_TlCuP2
_chemical_formula_sum 'Tl1 Cu1 P2'
_space_group_name_H-M_alt 'P 4/m m m'
_space_group_IT_number 123
_space_group_name_Hall '-P 4 2'
_cell_length_a 3.370
_cell_length_b 3.370
_cell_length_c 6.875
_cell_angle_alpha 90.00
_cell_angle_beta 90.00
_cell_angle_gamma 90.00
loop_
_atom_site_label
_atom_site_type_symbol
_atom_site_fract_x
_atom_site_fract_y
_atom_site_fract_z
Tl1 Tl 0.000 0.000 0.000
Cu1 Cu 0.000 0.000 0.500
P1 P 0.500 0.500 0.347


# PBE TlCuP2, optimized geometry
# energy of formation from the pure elements = 0.596 eV per atom
# crystal system = tetragonal
# final energy = -3.724 eV per atom
data_TlCuP2
_chemical_formula_sum 'Tl1 Cu1 P2'
_space_group_name_H-M_alt 'P 4/m m m'
_space_group_IT_number 123
_space_group_name_Hall '-P 4 2'
_cell_length_a 3.604
_cell_length_b 3.604
_cell_length_c 5.945
_cell_angle_alpha 90.00
_cell_angle_beta 90.00
_cell_angle_gamma 90.00
loop_
_atom_site_label
_atom_site_type_symbol
_atom_site_fract_x
_atom_site_fract_y
_atom_site_fract_z
Tl1 Tl 0.000 0.000 0.000
Cu1 Cu 0.500 0.500 0.000
P1 P 0.000 0.500 0.500


# PBE TlCuP2, optimized geometry
# energy of formation from the pure elements = 0.270 eV per atom
# crystal system = tetragonal
# final energy = -4.051 eV per atom
data_TlCuP2
_chemical_formula_sum 'Tl4 Cu4 P8'
_space_group_name_H-M_alt 'I -4 2 d'
_space_group_IT_number 122
_space_group_name_Hall 'I -4 2bw'
_cell_length_a 5.630
_cell_length_b 5.630
_cell_length_c 11.321
_cell_angle_alpha 90.00
_cell_angle_beta 90.00
_cell_angle_gamma 90.00
loop_
_atom_site_label
_atom_site_type_symbol
_atom_site_fract_x
_atom_site_fract_y
_atom_site_fract_z
Tl1 Tl 0.000 0.000 0.000
Cu1 Cu 0.000 0.000 0.500
P1 P 0.185 0.250 0.625


# PBE TlCuP2, optimized geometry
# energy of formation from the pure elements = 0.151 eV per atom
# crystal system = monoclinic
# final energy = -4.169 eV per atom
data_TlCuP2
_chemical_formula_sum 'Tl2 Cu2 P4'
_space_group_name_H-M_alt 'C 1 2/m 1'
_space_group_IT_number 12
_space_group_name_Hall '-C 2y'
_cell_length_a 7.664
_cell_length_b 3.422
_cell_length_c 6.454
_cell_angle_alpha 90.00
_cell_angle_beta 98.89
_cell_angle_gamma 90.00
loop_
_atom_site_label
_atom_site_type_symbol
_atom_site_fract_x
_atom_site_fract_y
_atom_site_fract_z
Tl1 Tl 0.000 0.000 0.000
Cu1 Cu 0.000 0.500 0.500
P1 P 0.240 0.000 0.627


# PBE TlCu2P, optimized geometry
# energy of formation from the pure elements = 0.302 eV per atom
# crystal system = monoclinic
# final energy = -3.690 eV per atom
data_TlCu2P
_chemical_formula_sum 'Tl1 Cu2 P1'
_space_group_name_H-M_alt 'P 1 2/m 1'
_space_group_IT_number 10
_space_group_name_Hall '-P 2y'
_cell_length_a 3.057
_cell_length_b 3.817
_cell_length_c 6.292
_cell_angle_alpha 90.00
_cell_angle_beta 93.42
_cell_angle_gamma 90.00
loop_
_atom_site_label
_atom_site_type_symbol
_atom_site_fract_x
_atom_site_fract_y
_atom_site_fract_z
Tl1 Tl 0.000 0.000 0.000
Cu1 Cu 0.278 0.500 0.668
P1 P 0.500 0.000 0.500


# PBE TlCuP, optimized geometry
# energy of formation from the pure elements = 0.232 eV per atom
# crystal system = orthorhombic
# final energy = -3.726 eV per atom
data_TlCuP
_chemical_formula_sum 'Tl2 Cu2 P2'
_space_group_name_H-M_alt 'I m m 2'
_space_group_IT_number 44
_space_group_name_Hall 'I 2 -2'
_cell_length_a 2.989
_cell_length_b 3.594
_cell_length_c 11.690
_cell_angle_alpha 90.00
_cell_angle_beta 90.00
_cell_angle_gamma 90.00
loop_
_atom_site_label
_atom_site_type_symbol
_atom_site_fract_x
_atom_site_fract_y
_atom_site_fract_z
Tl1 Tl 0.000 0.000 0.000
Cu1 Cu 0.000 0.000 0.266
P1 P 0.000 0.000 0.724


> Among the records above, which one has the lowest final energy?

number 10


> Which of these has the highest energy of formation from the pure elements?

number 4


> What is the final energy in the third record?

-3.932 eV per atom


> Which value of energy of formation from the pure elements does entry 11 give?

0.302 eV per atom